DFT (PBE) results for Sb2OsPt after structural relaxation.

Structure (POSCAR):
```
Sb2OsPt
1.0
-3.669 -1.615 -4.491
-5.073 -3.139 0.811
3.349 4.900 1.009
Os Pt Sb
1 1 2
direct
0.496 0.496 0.000
0.271 0.771 0.500
0.018 0.018 0.000
0.716 0.216 0.500
```

## Properties
Magnetization = 0.00 μB/cell
Electronic total energy = -6.007 eV per atom
DOS at the Fermi energy = 2.03 states/eV/f.u.
Crystal system = orthorhombic
Formation energy from raw total energies = 0.372 eV/atom
Space-group type = Imm2, No. 44
Energy above the most stable polymorph in this dataset = 269 meV per atom